Entry 1:
# PBE Y2CdBr, optimized geometry
data_Y2CdBr
_chemical_formula_sum 'Y2 Cd1 Br1'
_cell_length_a 9.6029
_cell_length_b 9.6029
_cell_length_c 9.6029
_cell_angle_alpha 22.07
_cell_angle_beta 22.07
_cell_angle_gamma 22.07
_space_group_name_H-M_alt 'P 1'
_space_group_IT_number 1
_space_group_name_Hall 'P 1'
loop_
_atom_site_label
_atom_site_fract_x
_atom_site_fract_y
_atom_site_fract_z
Y1 0.2490 0.2490 0.2490
Y2 0.7510 0.7510 0.7510
Cd1 0.0000 0.0000 0.0000
Br1 0.5000 0.5000 0.5000
# - calculated total energy (eV/cell) = -17.94
# - E above lowest polymorph (meV/atom) = 19
# - Fermi-level density of states (states/eV/f.u.) = 3.06
# - ΔE_f (raw) (eV/atom) = -0.607

=====

Entry 2:
# PBE YCdBr2, optimized geometry
data_YCdBr2
_chemical_formula_sum 'Y1 Cd1 Br2'
_cell_length_a 6.0346
_cell_length_b 6.0346
_cell_length_c 3.7165
_cell_angle_alpha 107.20
_cell_angle_beta 107.20
_cell_angle_gamma 107.70
_space_group_name_H-M_alt 'P 1'
_space_group_IT_number 1
_space_group_name_Hall 'P 1'
loop_
_atom_site_label
_atom_site_fract_x
_atom_site_fract_y
_atom_site_fract_z
Y1 0.0000 0.0000 0.0000
Cd1 0.5000 0.5000 0.0000
Br1 0.0000 0.5000 0.0000
Br2 0.5000 0.0000 0.0000
# - calculated total energy (eV/cell) = -13.56
# - E above lowest polymorph (meV/atom) = 356
# - Fermi-level density of states (states/eV/f.u.) = 1.98
# - ΔE_f (raw) (eV/atom) = -0.708

=====

Entry 3:
# PBE Y2CdBr, optimized geometry
data_Y2CdBr
_chemical_formula_sum 'Y2 Cd1 Br1'
_cell_length_a 3.6307
_cell_length_b 3.7915
_cell_length_c 8.3970
_cell_angle_alpha 90.00
_cell_angle_beta 90.00
_cell_angle_gamma 90.00
_space_group_name_H-M_alt 'P 1'
_space_group_IT_number 1
_space_group_name_Hall 'P 1'
loop_
_atom_site_label
_atom_site_fract_x
_atom_site_fract_y
_atom_site_fract_z
Y1 0.0000 0.0000 0.2180
Y2 0.0000 0.0000 0.7820
Cd1 0.5000 0.5000 0.0000
Br1 0.5000 0.0000 0.5000
# - calculated total energy (eV/cell) = -18.02
# - E above lowest polymorph (meV/atom) = 0
# - Fermi-level density of states (states/eV/f.u.) = 3.84
# - ΔE_f (raw) (eV/atom) = -0.626

=====

Entry 4:
# PBE YCdBr, optimized geometry
data_YCdBr
_chemical_formula_sum 'Y1 Cd1 Br1'
_cell_length_a 4.9927
_cell_length_b 4.9927
_cell_length_c 3.9319
_cell_angle_alpha 90.00
_cell_angle_beta 90.00
_cell_angle_gamma 120.00
_space_group_name_H-M_alt 'P 1'
_space_group_IT_number 1
_space_group_name_Hall 'P 1'
loop_
_atom_site_label
_atom_site_fract_x
_atom_site_fract_y
_atom_site_fract_z
Y1 0.0000 0.0000 0.0000
Cd1 0.3333 0.6667 0.5000
Br1 0.6667 0.3333 0.0000
# - calculated total energy (eV/cell) = -10.65
# - E above lowest polymorph (meV/atom) = 223
# - Fermi-level density of states (states/eV/f.u.) = 3.05
# - ΔE_f (raw) (eV/atom) = -0.531

=====

Entry 5:
# PBE YCdBr2, optimized geometry
data_YCdBr2
_chemical_formula_sum 'Y1 Cd1 Br2'
_cell_length_a 5.2937
_cell_length_b 5.2937
_cell_length_c 5.2937
_cell_angle_alpha 60.00
_cell_angle_beta 60.00
_cell_angle_gamma 60.00
_space_group_name_H-M_alt 'P 1'
_space_group_IT_number 1
_space_group_name_Hall 'P 1'
loop_
_atom_site_label
_atom_site_fract_x
_atom_site_fract_y
_atom_site_fract_z
Y1 0.0000 0.0000 0.0000
Cd1 0.5000 0.5000 0.5000
Br1 0.2500 0.2500 0.2500
Br2 0.7500 0.7500 0.7500
# - calculated total energy (eV/cell) = -13.49
# - E above lowest polymorph (meV/atom) = 374
# - Fermi-level density of states (states/eV/f.u.) = 3.33
# - ΔE_f (raw) (eV/atom) = -0.690

=====

Entry 6:
# PBE YCdBr2, optimized geometry
data_YCdBr2
_chemical_formula_sum 'Y1 Cd1 Br2'
_cell_length_a 5.3671
_cell_length_b 5.3671
_cell_length_c 5.3671
_cell_angle_alpha 60.00
_cell_angle_beta 60.00
_cell_angle_gamma 60.00
_space_group_name_H-M_alt 'P 1'
_space_group_IT_number 1
_space_group_name_Hall 'P 1'
loop_
_atom_site_label
_atom_site_fract_x
_atom_site_fract_y
_atom_site_fract_z
Y1 0.0000 0.0000 0.0000
Cd1 0.2500 0.2500 0.2500
Br1 0.5000 0.5000 0.5000
Br2 0.7500 0.7500 0.7500
# - calculated total energy (eV/cell) = -12.55
# - E above lowest polymorph (meV/atom) = 608
# - Fermi-level density of states (states/eV/f.u.) = 3.60
# - ΔE_f (raw) (eV/atom) = -0.456

=====

Entry 7:
# PBE YCdBr, optimized geometry
data_YCdBr
_chemical_formula_sum 'Y1 Cd1 Br1'
_cell_length_a 5.1559
_cell_length_b 5.1559
_cell_length_c 5.1559
_cell_angle_alpha 60.00
_cell_angle_beta 60.00
_cell_angle_gamma 60.00
_space_group_name_H-M_alt 'P 1'
_space_group_IT_number 1
_space_group_name_Hall 'P 1'
loop_
_atom_site_label
_atom_site_fract_x
_atom_site_fract_y
_atom_site_fract_z
Y1 0.0000 0.0000 0.0000
Cd1 0.7500 0.7500 0.7500
Br1 0.5000 0.5000 0.5000
# - calculated total energy (eV/cell) = -8.99
# - E above lowest polymorph (meV/atom) = 776
# - Fermi-level density of states (states/eV/f.u.) = 2.90
# - ΔE_f (raw) (eV/atom) = 0.022

=====

Entry 8:
# PBE YCdBr, optimized geometry
data_YCdBr
_chemical_formula_sum 'Y1 Cd1 Br1'
_cell_length_a 7.4945
_cell_length_b 7.4909
_cell_length_c 3.5823
_cell_angle_alpha 76.22
_cell_angle_beta 76.11
_cell_angle_gamma 27.66
_space_group_name_H-M_alt 'P 1'
_space_group_IT_number 1
_space_group_name_Hall 'P 1'
loop_
_atom_site_label
_atom_site_fract_x
_atom_site_fract_y
_atom_site_fract_z
Y1 0.0000 0.0000 0.0000
Cd1 0.3590 0.3590 0.6410
Br1 0.6208 0.6208 0.3792
# - calculated total energy (eV/cell) = -11.02
# - E above lowest polymorph (meV/atom) = 98
# - Fermi-level density of states (states/eV/f.u.) = 2.98
# - ΔE_f (raw) (eV/atom) = -0.656

=====

Entry 9:
# PBE Y4CdBr, optimized geometry
data_Y4CdBr
_chemical_formula_sum 'Y4 Cd1 Br1'
_cell_length_a 6.4840
_cell_length_b 6.4840
_cell_length_c 6.4840
_cell_angle_alpha 60.00
_cell_angle_beta 60.00
_cell_angle_gamma 60.00
_space_group_name_H-M_alt 'P 1'
_space_group_IT_number 1
_space_group_name_Hall 'P 1'
loop_
_atom_site_label
_atom_site_fract_x
_atom_site_fract_y
_atom_site_fract_z
Y1 0.3767 0.3767 0.3767
Y2 0.3767 0.3767 0.8700
Y3 0.3767 0.8700 0.3767
Y4 0.8700 0.3767 0.3767
Cd1 0.7500 0.7500 0.7500
Br1 0.0000 0.0000 0.0000
# - calculated total energy (eV/cell) = -26.80
# - Fermi-level density of states (states/eV/f.u.) = 8.32
# - ΔE_f (raw) (eV/atom) = 0.274

=====

Entry 10:
# PBE YCdBr2, optimized geometry
data_YCdBr2
_chemical_formula_sum 'Y1 Cd1 Br2'
_cell_length_a 3.6641
_cell_length_b 3.6641
_cell_length_c 8.7657
_cell_angle_alpha 90.00
_cell_angle_beta 90.00
_cell_angle_gamma 90.00
_space_group_name_H-M_alt 'P 1'
_space_group_IT_number 1
_space_group_name_Hall 'P 1'
loop_
_atom_site_label
_atom_site_fract_x
_atom_site_fract_y
_atom_site_fract_z
Y1 0.0000 0.0000 0.0000
Cd1 0.5000 0.5000 0.7664
Br1 0.0000 0.0000 0.5957
Br2 0.5000 0.5000 0.1893
# - calculated total energy (eV/cell) = -14.31
# - E above lowest polymorph (meV/atom) = 168
# - Fermi-level density of states (states/eV/f.u.) = 1.92
# - ΔE_f (raw) (eV/atom) = -0.896

=====

Entry 11:
# PBE Y2CdBr, optimized geometry
data_Y2CdBr
_chemical_formula_sum 'Y2 Cd1 Br1'
_cell_length_a 5.4539
_cell_length_b 5.4539
_cell_length_c 5.4539
_cell_angle_alpha 60.00
_cell_angle_beta 60.00
_cell_angle_gamma 60.00
_space_group_name_H-M_alt 'P 1'
_space_group_IT_number 1
_space_group_name_Hall 'P 1'
loop_
_atom_site_label
_atom_site_fract_x
_atom_site_fract_y
_atom_site_fract_z
Y1 0.0000 0.0000 0.0000
Y2 0.2500 0.2500 0.2500
Cd1 0.5000 0.5000 0.5000
Br1 0.7500 0.7500 0.7500
# - calculated total energy (eV/cell) = -14.95
# - E above lowest polymorph (meV/atom) = 769
# - Fermi-level density of states (states/eV/f.u.) = 5.93
# - ΔE_f (raw) (eV/atom) = 0.143

=====

Entry 12:
# PBE Y2CdBr, optimized geometry
data_Y2CdBr
_chemical_formula_sum 'Y2 Cd1 Br1'
_cell_length_a 6.6638
_cell_length_b 6.6638
_cell_length_c 6.6638
_cell_angle_alpha 141.95
_cell_angle_beta 141.95
_cell_angle_gamma 54.91
_space_group_name_H-M_alt 'P 1'
_space_group_IT_number 1
_space_group_name_Hall 'P 1'
loop_
_atom_site_label
_atom_site_fract_x
_atom_site_fract_y
_atom_site_fract_z
Y1 0.0000 0.0000 0.0000
Y2 0.7500 0.2500 0.5000
Cd1 0.5000 0.5000 0.0000
Br1 0.2500 0.7500 0.5000
# - calculated total energy (eV/cell) = -16.81
# - E above lowest polymorph (meV/atom) = 303
# - Fermi-level density of states (states/eV/f.u.) = 5.08
# - ΔE_f (raw) (eV/atom) = -0.323

=====

Entry 13:
# PBE YCdBr2, optimized geometry
data_YCdBr2
_chemical_formula_sum 'Y1 Cd1 Br2'
_cell_length_a 4.8107
_cell_length_b 4.8107
_cell_length_c 4.5527
_cell_angle_alpha 90.00
_cell_angle_beta 90.00
_cell_angle_gamma 90.00
_space_group_name_H-M_alt 'P 1'
_space_group_IT_number 1
_space_group_name_Hall 'P 1'
loop_
_atom_site_label
_atom_site_fract_x
_atom_site_fract_y
_atom_site_fract_z
Y1 0.0000 0.0000 0.0000
Cd1 0.5000 0.5000 0.0000
Br1 0.0000 0.5000 0.5000
Br2 0.5000 0.0000 0.5000
# - calculated total energy (eV/cell) = -13.33
# - E above lowest polymorph (meV/atom) = 412
# - Fermi-level density of states (states/eV/f.u.) = 1.90
# - ΔE_f (raw) (eV/atom) = -0.652

=====

Entry 14:
# PBE YCdBr2, optimized geometry
data_YCdBr2
_chemical_formula_sum 'Y1 Cd1 Br2'
_cell_length_a 6.2622
_cell_length_b 6.2622
_cell_length_c 6.2622
_cell_angle_alpha 138.78
_cell_angle_beta 138.78
_cell_angle_gamma 59.71
_space_group_name_H-M_alt 'P 1'
_space_group_IT_number 1
_space_group_name_Hall 'P 1'
loop_
_atom_site_label
_atom_site_fract_x
_atom_site_fract_y
_atom_site_fract_z
Y1 0.0000 0.0000 0.0000
Cd1 0.7500 0.2500 0.5000
Br1 0.2500 0.7500 0.5000
Br2 0.5000 0.5000 0.0000
# - calculated total energy (eV/cell) = -13.35
# - E above lowest polymorph (meV/atom) = 408
# - Fermi-level density of states (states/eV/f.u.) = 2.18
# - ΔE_f (raw) (eV/atom) = -0.656

=====

Entry 15:
# PBE Y2CdBr, optimized geometry
data_Y2CdBr
_chemical_formula_sum 'Y2 Cd1 Br1'
_cell_length_a 3.5805
_cell_length_b 3.5805
_cell_length_c 9.9638
_cell_angle_alpha 90.00
_cell_angle_beta 90.00
_cell_angle_gamma 90.00
_space_group_name_H-M_alt 'P 1'
_space_group_IT_number 1
_space_group_name_Hall 'P 1'
loop_
_atom_site_label
_atom_site_fract_x
_atom_site_fract_y
_atom_site_fract_z
Y1 0.0000 0.0000 0.0000
Y2 0.5000 0.5000 0.2574
Cd1 0.5000 0.5000 0.7990
Br1 0.0000 0.0000 0.4327
# - calculated total energy (eV/cell) = -17.61
# - E above lowest polymorph (meV/atom) = 101
# - Fermi-level density of states (states/eV/f.u.) = 5.80
# - ΔE_f (raw) (eV/atom) = -0.525